## BaFeMo2 (GGA-PBE)

Data for an optimized crystal structure of BaFeMo2.

abc: 4.1535 4.1535 6.8335
angles: 72.31 72.31 59.92
Last column: magnetic moment on the atom in μB.
Fractional coordinates of all 4 atoms:
Ba1 0.7500 0.7500 0.7500  0.00
Fe1 0.2500 0.2500 0.2500  0.96
Mo1 0.9486 0.9486 0.1543  0.07
Mo2 0.5514 0.5514 0.3457  0.07

Summary:
ΔE to the lowest computed polymorph in eV/atom: 0.033
E_form in eV per atom: 0.715


## BaFeMo2 (GGA-PBE)

Data for an optimized crystal structure of BaFeMo2.

abc: 6.0677 6.0677 6.0677
angles: 152.66 128.93 58.89
Last column: magnetic moment on the atom in μB.
Fractional coordinates of all 4 atoms:
Ba1 0.7500 0.2500 0.5000  -0.05
Fe1 0.2500 0.7500 0.5000  2.03
Mo1 0.0453 0.0453 0.0000  -0.11
Mo2 0.4547 0.4547 0.0000  -0.11

Summary:
ΔE to the lowest computed polymorph in eV/atom: 0.399
E_form in eV per atom: 1.081


## BaFeMo (GGA-PBE)

Data for an optimized crystal structure of BaFeMo.

abc: 4.7148 4.7148 4.7148
angles: 60.00 60.00 60.00
Last column: magnetic moment on the atom in μB.
Fractional coordinates of all 3 atoms:
Ba1 0.5000 0.5000 0.5000  -0.05
Fe1 0.7500 0.7500 0.7500  1.98
Mo1 0.0000 0.0000 0.0000  -1.93

Summary:
ΔE to the lowest computed polymorph in eV/atom: 0.779
E_form in eV per atom: 1.537


## BaFeMo (GGA-PBE)

Data for an optimized crystal structure of BaFeMo.

abc: 3.9573 3.9573 5.4686
angles: 90.00 90.00 120.00
Fractional coordinates of all 3 atoms:
Ba1 0.0000 0.0000 0.9950
Fe1 0.6667 0.3333 0.5228
Mo1 0.3333 0.6667 0.4822

Summary:
ΔE to the lowest computed polymorph in eV/atom: 0.007
E_form in eV per atom: 0.765


## BaFeMo2 (GGA-PBE)

Data for an optimized crystal structure of BaFeMo2.

abc: 4.7706 4.7706 3.2527
angles: 90.00 90.00 90.00
Last column: magnetic moment on the atom in μB.
Fractional coordinates of all 4 atoms:
Ba1 0.5000 0.0000 0.5000  -0.01
Fe1 0.0000 0.5000 0.5000  2.67
Mo1 0.0000 0.0000 0.0000  -0.24
Mo2 0.5000 0.5000 0.0000  -0.24

Summary:
ΔE to the lowest computed polymorph in eV/atom: 0.832
E_form in eV per atom: 1.514


## BaFeMo2 (GGA-PBE)

Data for an optimized crystal structure of BaFeMo2.

abc: 4.6362 4.6362 4.6362
angles: 60.00 60.00 60.00
Fractional coordinates of all 4 atoms:
Mo1 0.2500 0.2500 0.2500
Mo2 0.7500 0.7500 0.7500
Ba1 0.5000 0.5000 0.5000
Fe1 0.0000 0.0000 0.0000

Summary:
ΔE to the lowest computed polymorph in eV/atom: 0.732
E_form in eV per atom: 1.414


## BaNbFe2Mo (GGA-PBE)

Data for an optimized crystal structure of BaNbFe2Mo.

abc: 4.7109 4.8743 4.7109
angles: 90.00 90.00 90.00
Last column: magnetic moment on the atom in μB.
Fractional coordinates of all 5 atoms:
Mo1 0.0000 0.0000 0.0000  -0.41
Ba1 0.5000 0.5000 0.5000  0.01
Nb1 0.0000 0.5000 0.0000  0.53
Fe1 0.0000 0.0000 0.5000  2.50
Fe2 0.5000 0.0000 0.0000  2.05

Summary:
ΔE to the lowest computed polymorph in eV/atom: 0.000
E_form in eV per atom: 1.100


## BaNbFe2Mo (GGA-PBE)

Data for an optimized crystal structure of BaNbFe2Mo.

abc: 4.4772 5.3480 4.4772
angles: 90.00 90.00 90.00
Fractional coordinates of all 5 atoms:
Mo1 0.0000 0.0000 0.0000
Ba1 0.0000 0.5000 0.0000
Nb1 0.5000 0.5000 0.5000
Fe1 0.0000 0.0000 0.5000
Fe2 0.5000 0.0000 0.0000

Summary:
ΔE to the lowest computed polymorph in eV/atom: 0.826
E_form in eV per atom: 1.926


Here are the calculated electronic total energy numbers, same order: -7.30, -6.93, -5.54, -6.31, -6.50, -6.60, -6.85, -6.02 (eV/atom).